Record 1
Here is an optimized crystal structure of Ti2Be2VRh5 from the Alexandria database. Energies are from PBE.

## Properties
spin magnetization = 0.0 μB/f.u.
crystal system = tetragonal
electronic total energy = -7.54 eV/atom

a = 9.1735 Å, b = 9.1735 Å, c = 3.1454 Å
α = 90.00°, β = 90.00°, γ = 90.00°
With the nearest neighbours (Å) after each atom.
Space group P4/mbm (No. 127)
Symmetry-distinct sites (fractional):
Ti 0.1736 0.3264 0.0000 x4  3 Be 2.63-2.77, 6 Rh 2.75-2.84
Be 0.1239 0.6239 0.0000 x4  6 Rh 2.25-2.27
V 0.0000 0.0000 0.0000 x2  8 Rh 2.54
Rh 0.0000 0.5000 0.5000 x2  4 Be 2.25
Rh 0.0713 0.7940 0.5000 x8  2 Be 2.27

Record 2
Here is an optimized crystal structure of YTiBe2Rh from the Alexandria database. Energies are from PBE.

## Properties
spin magnetization = 0.0 μB/f.u.
crystal system = tetragonal
electronic total energy = -4.26 eV/atom

a = 4.6835 Å, b = 4.6835 Å, c = 4.7698 Å
α = 90.00°, β = 90.00°, γ = 90.00°
With the nearest neighbours (Å) after each atom.
Space group P4/mmm (No. 123)
Symmetry-distinct sites (fractional):
Y 0.0000 0.0000 0.0000 x1  4 Be 2.34, 2 Rh 2.38
Ti 0.5000 0.5000 0.5000 x1  4 Rh 3.31, 8 Be 3.34
Be 0.0000 0.5000 0.0000 x2  2 Y 2.34
Rh 0.0000 0.0000 0.5000 x1  2 Y 2.38

What are the DFT formation energy values for these records? In order: -0.628 1.577 eV/atom.